Entry 1:
Computed, not measured: a relaxed structure of Tb5Pr4Cd2 at the PBE-GGA level of DFT.

Output
ΔH_f (0 K): 0.1 eV/f.u.
DOS(E_F): 1.4092 states/eV/atom
Final energy: -4.0038 eV per atom
Theoretical density: 7.5 g/cm³
Total moment: 0.0 μB/cell

Unit cell a=8.7177 b=3.5343 c=11.4434 alpha=90.00 beta=94.02 gamma=90.00
Closest atoms and distances in Å follow each position.
Space group P2/m (No. 10)
Unique sites:
Tb  0.0000  0.0000  0.0000 (multiplicity 1)  6 Tb 3.32-3.53
Tb  0.0710  0.0000  0.2925 (multiplicity 2)  1 Cd 3.33, 4 Tb 3.36-3.53, 6 Pr 3.58-3.72
Tb  0.2952  0.0000  0.8314 (multiplicity 2)  1 Cd 3.32, 4 Tb 3.32-3.53, 4 Pr 3.54-3.72
Pr  0.2208  0.5000  0.5474 (multiplicity 2)  4 Cd 3.43-3.47, 2 Pr 3.53, 6 Tb 3.58-3.72
Pr  0.3549  0.5000  0.1193 (multiplicity 2)  2 Cd 3.41, 2 Pr 3.53, 8 Tb 3.54-3.74
Cd  0.4469  0.0000  0.3689 (multiplicity 2)  1 Cd 3.08, 2 Tb 3.32-3.33, 4 Pr 3.41-3.43

Entry 2:
Computed, not measured: a relaxed structure of Mn2CrTeC at the PBE-GGA level of DFT.

Output
DOS(E_F): 0.7363 states/eV/atom
Final energy: -7.0558 eV per atom
Energy relative to the elements, uncorrected: 1.010 eV per atom
Theoretical density: 5.8 g/cm³
Total moment: 5.7 μB/cell

Unit cell a=4.8035 b=4.8035 c=3.7211 alpha=90.00 beta=90.00 gamma=90.00
Closest atoms and distances in Å follow each position.
Space group P4/mmm (No. 123)
Unique sites:
Mn  0.0000  0.5000  0.0000 (multiplicity 2)  2 Cr 2.40
Cr  0.0000  0.0000  0.0000 (multiplicity 1)  2 C 1.86
Te  0.5000  0.5000  0.5000 (multiplicity 1)  8 Mn 3.04, 4 C 3.40
C  0.0000  0.0000  0.5000 (multiplicity 1)  2 Cr 1.86